BaReS2: relaxed, PBE.

Calculated values
**Uncorrected formation energy**: -149 meV/atom
**DFT total energy**: -0.4267 Ry per atom
**E above lowest polymorph**: 0 meV/atom
**DOS(E_F)**: 7.41 states/eV/cell
**Magnetic moment**: 5.0 Bohr magnetons per cell

Structure (CIF):
```
data_BaReS2
_space_group_name_H-M_alt 'R -3 m'
_space_group_IT_number 166
_space_group_name_Hall '-R 3 2"'
_cell_length_a 3.7122
_cell_length_b 3.7122
_cell_length_c 25.6822
_cell_angle_alpha 90.00
_cell_angle_beta 90.00
_cell_angle_gamma 120.00
loop_
_atom_site_label
_atom_site_fract_x
_atom_site_fract_y
_atom_site_fract_z
Ba1 0.0000 0.0000 0.0000
Re1 0.0000 0.0000 0.5000
S1 0.0000 0.0000 0.1192
```